First-principles (GGA-PBE) data for a relaxed structure of Er2TmHg, as listed in the Alexandria database.

Values from the calculation:
- calculated total energy (eV per atom) = -3.70
- formation enthalpy at 0 K (eV per atom) = -0.2226
- energy above the most stable polymorph in this dataset (eV per formula unit) = 0.00

Structure (extended XYZ):
```
4
Lattice="3.5530 0.0000 0.0000 0.0000 3.5530 0.0000 0.0000 0.0000 8.8521" Properties=species:S:1:pos:R:3 pbc="T T T"
Tm 1.7765 1.7765 4.4261
Hg 1.7765 1.7765 0.0000
Er 0.0000 0.0000 6.8544
Er 0.0000 0.0000 1.9977
```